Material: BeCoCl
Method: DFT, PBE
State: relaxed

a = 2.9619 Å, b = 3.5809 Å, c = 10.2098 Å
α = 99.94°, β = 98.29°, γ = 90.00°
Space group P-1 (No. 2)
Unique sites:
Be1 0.0893 0.0873 0.1813 x2
Co1 0.0000 0.5000 0.0000 x1
Co2 0.5000 0.0000 0.0000 x1
Cl1 0.3428 0.8439 0.6826 x2

- Total moment: 0.410 μB per atom
- Calculated total energy: -27.18 eV per cell
- Formation energy (no corrections): -0.91 eV/f.u.
- Energy above the most stable polymorph in this dataset: 56 meV per atom

---

Material: BeCoCl
Method: DFT, PBE
State: relaxed

a = 2.7679 Å, b = 2.9290 Å, c = 9.9616 Å
α = 90.00°, β = 90.00°, γ = 90.00°
Space group Imm2 (No. 44)
Unique sites:
Be1 0.0000 0.0000 0.0000 x2
Co1 0.0000 0.0000 0.3717 x2
Cl1 0.0000 0.5000 0.6726 x2

- Total moment: 0.427 μB per atom
- Calculated total energy: -24.21 eV per cell
- Formation energy (no corrections): 0.57 eV/f.u.
- Energy above the most stable polymorph in this dataset: 552 meV per atom

---

Material: BeCo2Cl
Method: DFT, PBE
State: relaxed

a = 5.6389 Å, b = 5.6389 Å, c = 5.6389 Å
α = 90.00°, β = 90.00°, γ = 90.00°
Space group Fm-3m (No. 225)
Unique sites:
Be1 0.0000 0.0000 0.0000 x4
Co1 0.2500 0.2500 0.2500 x8
Cl1 0.0000 0.0000 0.5000 x4

- Total moment: 0.582 μB per atom
- Calculated total energy: -69.11 eV per cell
- Formation energy (no corrections): 2.51 eV/f.u.
- Energy above the most stable polymorph in this dataset: 516 meV per atom

---

Material: Be2CoCl
Method: DFT, PBE
State: relaxed

a = 2.9294 Å, b = 4.7741 Å, c = 7.7601 Å
α = 90.00°, β = 90.00°, γ = 90.00°
Space group Cmm2 (No. 35)
Unique sites:
Be1 0.0000 0.0000 0.0000 x2
Be2 0.0000 0.5000 0.2348 x2
Co1 0.0000 0.0000 0.4380 x2
Cl1 0.0000 0.5000 0.8177 x2

- Total moment: 0.349 μB per atom
- Calculated total energy: -29.26 eV per cell
- Formation energy (no corrections): 1.78 eV/f.u.
- Energy above the most stable polymorph in this dataset: 466 meV per atom

---

Material: Be2CoCl
Method: DFT, PBE
State: relaxed

a = 2.7606 Å, b = 3.3863 Å, c = 10.7438 Å
α = 90.00°, β = 90.00°, γ = 90.00°
Space group Imm2 (No. 44)
Unique sites:
Be1 0.0000 0.0000 0.0000 x2
Be2 0.0000 0.5000 0.1335 x2
Co1 0.0000 0.0000 0.4756 x2
Cl1 0.0000 0.5000 0.7813 x2

- Total moment: 0.000 μB per atom
- Calculated total energy: -31.27 eV per cell
- Formation energy (no corrections): 0.77 eV/f.u.
- Energy above the most stable polymorph in this dataset: 215 meV per atom

---

Material: Be2CoCl
Method: DFT, PBE
State: relaxed

a = 5.6537 Å, b = 5.6537 Å, c = 5.6537 Å
α = 90.00°, β = 90.00°, γ = 90.00°
Space group F-43m (No. 216)
Unique sites:
Be1 0.0000 0.0000 0.0000 x4
Be2 0.2500 0.2500 0.2500 x4
Co1 0.0000 0.0000 0.5000 x4
Cl1 0.2500 0.2500 0.7500 x4

- Total moment: 0.000 μB per atom
- Calculated total energy: -53.45 eV per cell
- Formation energy (no corrections): 3.04 eV/f.u.
- Energy above the most stable polymorph in this dataset: 782 meV per atom

---

Material: BeCo2Cl
Method: DFT, PBE
State: relaxed

a = 7.3246 Å, b = 2.9182 Å, c = 6.7251 Å
α = 90.00°, β = 121.81°, γ = 90.00°
Space group Cm (No. 8)
Unique sites:
Be1 0.0000 0.0000 0.0000 x2
Co1 0.2164 0.0000 0.8527 x2
Co2 0.4203 0.0000 0.6974 x2
Cl1 0.2773 0.0000 0.2999 x2

- Total moment: 0.820 μB per atom
- Calculated total energy: -38.24 eV per cell
- Formation energy (no corrections): 0.66 eV/f.u.
- Energy above the most stable polymorph in this dataset: 55 meV per atom

---

Material: Be2CoCl
Method: DFT, PBE
State: relaxed

a = 2.7989 Å, b = 2.8731 Å, c = 5.8508 Å
α = 90.00°, β = 90.00°, γ = 90.00°
Space group Pmmm (No. 47)
Unique sites:
Be1 0.0000 0.0000 0.1890 x2
Co1 0.5000 0.5000 0.0000 x1
Cl1 0.5000 0.0000 0.5000 x1

- Total moment: 0.000 μB per atom
- Calculated total energy: -16.49 eV per cell
- Formation energy (no corrections): -0.09 eV/f.u.
- Energy above the most stable polymorph in this dataset: 0 meV per atom

---

Material: Be2CoCl
Method: DFT, PBE
State: relaxed

a = 5.6693 Å, b = 5.6693 Å, c = 5.6693 Å
α = 90.00°, β = 90.00°, γ = 90.00°
Space group Fm-3m (No. 225)
Unique sites:
Be1 0.2500 0.2500 0.2500 x8
Co1 0.0000 0.0000 0.0000 x4
Cl1 0.0000 0.0000 0.5000 x4

- Total moment: 0.000 μB per atom
- Calculated total energy: -50.55 eV per cell
- Formation energy (no corrections): 3.77 eV/f.u.
- Energy above the most stable polymorph in this dataset: 964 meV per atom

---

Material: Be2CoCl
Method: DFT, PBE
State: relaxed

a = 3.1048 Å, b = 3.1048 Å, c = 10.1341 Å
α = 90.00°, β = 90.00°, γ = 90.00°
Space group I-4m2 (No. 119)
Unique sites:
Be1 0.0000 0.0000 0.0000 x2
Be2 0.0000 0.5000 0.2500 x2
Co1 0.0000 0.0000 0.5000 x2
Cl1 0.0000 0.5000 0.7500 x2

- Total moment: 0.217 μB per atom
- Calculated total energy: -28.23 eV per cell
- Formation energy (no corrections): 2.29 eV/f.u.
- Energy above the most stable polymorph in this dataset: 595 meV per atom

---

Material: Be2CoCl
Method: DFT, PBE
State: relaxed

a = 2.9092 Å, b = 2.9092 Å, c = 6.9435 Å
α = 90.00°, β = 90.00°, γ = 90.00°
Space group P4mm (No. 99)
Unique sites:
Be1 0.0000 0.0000 0.0000 x1
Be2 0.5000 0.5000 0.2046 x1
Co1 0.5000 0.5000 0.9131 x1
Cl1 0.0000 0.0000 0.3752 x1

- Total moment: 0.000 μB per atom
- Calculated total energy: -15.88 eV per cell
- Formation energy (no corrections): 0.52 eV/f.u.
- Energy above the most stable polymorph in this dataset: 152 meV per atom

---

Material: BeCoCl
Method: DFT, PBE
State: relaxed

a = 3.8065 Å, b = 3.8065 Å, c = 2.8912 Å
α = 90.00°, β = 90.00°, γ = 120.00°
Space group P-6m2 (No. 187)
Unique sites:
Be1 0.0000 0.0000 0.0000 x1
Co1 0.3333 0.6667 0.5000 x1
Cl1 0.6667 0.3333 0.5000 x1

- Total moment: 0.000 μB per atom
- Calculated total energy: -10.86 eV per cell
- Formation energy (no corrections): 1.82 eV/f.u.
- Energy above the most stable polymorph in this dataset: 966 meV per atom

---

Material: BeCoCl
Method: DFT, PBE
State: relaxed

a = 3.4896 Å, b = 3.4946 Å, c = 8.2442 Å
α = 96.38°, β = 96.58°, γ = 92.50°
Space group P1 (No. 1)
Unique sites:
Be1 0.0000 0.0000 0.0000 x1
Be2 0.4600 0.4573 0.9952 x1
Co1 0.0211 0.5434 0.1719 x1
Co2 0.5445 0.0175 0.1722 x1
Cl1 0.1680 0.1692 0.7820 x1
Cl2 0.5581 0.5502 0.3673 x1

- Total moment: 0.333 μB per atom
- Calculated total energy: -27.20 eV per cell
- Formation energy (no corrections): -0.92 eV/f.u.
- Energy above the most stable polymorph in this dataset: 53 meV per atom

---

Material: BeCoCl
Method: DFT, PBE
State: relaxed

a = 2.8846 Å, b = 2.8846 Å, c = 11.5906 Å
α = 90.00°, β = 90.00°, γ = 90.00°
Space group I4mm (No. 107)
Unique sites:
Be1 0.0000 0.0000 0.0000 x2
Co1 0.0000 0.0000 0.5873 x2
Cl1 0.0000 0.0000 0.2163 x2

- Total moment: 0.548 μB per atom
- Calculated total energy: -23.39 eV per cell
- Formation energy (no corrections): 0.98 eV/f.u.
- Energy above the most stable polymorph in this dataset: 688 meV per atom

---

Material: BeCoCl2
Method: DFT, PBE
State: relaxed

a = 3.0427 Å, b = 3.0427 Å, c = 6.1132 Å
α = 90.00°, β = 90.00°, γ = 90.00°
Space group P4/mmm (No. 123)
Unique sites:
Be1 0.0000 0.0000 0.0000 x1
Co1 0.0000 0.0000 0.5000 x1
Cl1 0.5000 0.5000 0.2453 x2

- Total moment: 0.330 μB per atom
- Calculated total energy: -12.22 eV per cell
- Formation energy (no corrections): 2.31 eV/f.u.
- Energy above the most stable polymorph in this dataset: 899 meV per atom

---

Material: BeCoCl
Method: DFT, PBE
State: relaxed

a = 3.8856 Å, b = 3.8856 Å, c = 6.2495 Å
α = 90.00°, β = 90.00°, γ = 90.00°
Space group P4/nmm (No. 129, origin choice 2)
Unique sites:
Be1 0.2500 0.2500 0.1884 x2
Co1 0.2500 0.2500 0.5215 x2
Cl1 0.2500 0.7500 0.0000 x2

- Total moment: 0.471 μB per atom
- Calculated total energy: -22.09 eV per cell
- Formation energy (no corrections): 1.64 eV/f.u.
- Energy above the most stable polymorph in this dataset: 905 meV per atom

---

Material: BeCo2Cl
Method: DFT, PBE
State: relaxed

a = 2.8513 Å, b = 2.8513 Å, c = 24.2826 Å
α = 90.00°, β = 90.00°, γ = 120.00°
Space group R3m (No. 160, hexagonal axes)
Unique sites:
Be1 0.0000 0.0000 0.0000 x3
Co1 0.0000 0.0000 0.4780 x3
Co2 0.0000 0.0000 0.7412 x3
Cl1 0.0000 0.0000 0.2791 x3

- Total moment: 0.935 μB per atom
- Calculated total energy: -56.34 eV per cell
- Formation energy (no corrections): 1.01 eV/f.u.
- Energy above the most stable polymorph in this dataset: 140 meV per atom

---

Material: BeCoCl
Method: DFT, PBE
State: relaxed

a = 2.9144 Å, b = 2.9144 Å, c = 5.1372 Å
α = 90.00°, β = 90.00°, γ = 120.00°
Space group P3m1 (No. 156)
Unique sites:
Be1 0.0000 0.0000 0.0000 x1
Co1 0.3333 0.6667 0.6925 x1
Cl1 0.6667 0.3333 0.2957 x1

- Total moment: 0.413 μB per atom
- Calculated total energy: -12.01 eV per cell
- Formation energy (no corrections): 0.67 eV/f.u.
- Energy above the most stable polymorph in this dataset: 582 meV per atom

---

Material: Be2CoCl
Method: DFT, PBE
State: relaxed

a = 2.8173 Å, b = 3.9129 Å, c = 3.9957 Å
α = 90.00°, β = 90.00°, γ = 90.00°
Space group Pmmm (No. 47)
Unique sites:
Be1 0.0000 0.0000 0.0000 x1
Be2 0.5000 0.0000 0.5000 x1
Co1 0.0000 0.5000 0.5000 x1
Cl1 0.5000 0.5000 0.0000 x1

- Total moment: 0.000 μB per atom
- Calculated total energy: -13.87 eV per cell
- Formation energy (no corrections): 2.54 eV/f.u.
- Energy above the most stable polymorph in this dataset: 656 meV per atom

---

Material: Be3CoCl
Method: DFT, PBE
State: relaxed

a = 3.9823 Å, b = 3.9823 Å, c = 3.9823 Å
α = 90.00°, β = 90.00°, γ = 90.00°
Space group Pm-3m (No. 221)
Unique sites:
Be1 0.0000 0.0000 0.5000 x3
Co1 0.5000 0.5000 0.5000 x1
Cl1 0.0000 0.0000 0.0000 x1

- Total moment: 0.311 μB per atom
- Calculated total energy: -13.86 eV per cell
- Formation energy (no corrections): 6.27 eV/f.u.
- Energy above the most stable polymorph in this dataset: 430 meV per atom

---

Material: BeCoCl2
Method: DFT, PBE
State: relaxed

a = 3.2934 Å, b = 3.2934 Å, c = 12.4981 Å
α = 90.00°, β = 90.00°, γ = 90.00°
Space group I-4m2 (No. 119)
Unique sites:
Be1 0.0000 0.0000 0.0000 x2
Co1 0.0000 0.5000 0.2500 x2
Cl1 0.0000 0.0000 0.5000 x2
Cl2 0.0000 0.5000 0.7500 x2

- Total moment: 0.392 μB per atom
- Calculated total energy: -26.19 eV per cell
- Formation energy (no corrections): 1.43 eV/f.u.
- Energy above the most stable polymorph in this dataset: 679 meV per atom

---

Material: BeCoCl
Method: DFT, PBE
State: relaxed

a = 4.4516 Å, b = 4.4516 Å, c = 4.4516 Å
α = 90.00°, β = 90.00°, γ = 90.00°
Space group P4/nmm (No. 129, origin choice 2)
Unique sites:
Be1 0.2500 0.2500 0.1213 x2
Co1 0.2500 0.2500 0.6444 x2
Cl1 0.2500 0.7500 0.5000 x2

- Total moment: 0.235 μB per atom
- Calculated total energy: -20.88 eV per cell
- Formation energy (no corrections): 2.24 eV/f.u.
- Energy above the most stable polymorph in this dataset: 1107 meV per atom

---

Material: BeCoCl
Method: DFT, PBE
State: relaxed

a = 3.2151 Å, b = 3.2153 Å, c = 9.8978 Å
α = 90.03°, β = 90.05°, γ = 90.01°
Space group P1 (No. 1)
Unique sites:
Be1 0.0000 0.0000 0.0000 x1
Be2 0.0031 0.9989 0.3639 x1
Co1 0.0031 0.5004 0.1860 x1
Co2 0.5030 0.0005 0.1779 x1
Cl1 0.0017 0.4999 0.8718 x1
Cl2 0.5034 0.0009 0.4922 x1

- Total moment: 0.418 μB per atom
- Calculated total energy: -27.09 eV per cell
- Formation energy (no corrections): -0.87 eV/f.u.
- Energy above the most stable polymorph in this dataset: 72 meV per atom

---

Material: BeCo2Cl
Method: DFT, PBE
State: relaxed

a = 3.0470 Å, b = 2.9027 Å, c = 6.1163 Å
α = 90.00°, β = 90.03°, γ = 90.00°
Space group Pm (No. 6)
Unique sites:
Be1 0.0000 0.0000 0.0000 x1
Co1 0.4991 0.5000 0.8030 x1
Co2 0.9987 0.0000 0.6268 x1
Cl1 0.9976 0.5000 0.2470 x1

- Total moment: 0.808 μB per atom
- Calculated total energy: -19.34 eV per cell
- Formation energy (no corrections): 0.44 eV/f.u.
- Energy above the most stable polymorph in this dataset: 0 meV per atom

---

Material: BeCoCl2
Method: DFT, PBE
State: relaxed

a = 6.0869 Å, b = 6.0869 Å, c = 6.0869 Å
α = 90.00°, β = 90.00°, γ = 90.00°
Space group Fm-3m (No. 225)
Unique sites:
Be1 0.0000 0.0000 0.0000 x4
Co1 0.0000 0.0000 0.5000 x4
Cl1 0.2500 0.2500 0.2500 x8

- Total moment: 0.301 μB per atom
- Calculated total energy: -49.37 eV per cell
- Formation energy (no corrections): 2.18 eV/f.u.
- Energy above the most stable polymorph in this dataset: 867 meV per atom

---

Material: BeCoCl2
Method: DFT, PBE
State: relaxed

a = 5.0323 Å, b = 5.0323 Å, c = 9.6523 Å
α = 90.00°, β = 90.00°, γ = 90.00°
Space group I-42d (No. 122)
Unique sites:
Be1 0.0000 0.0000 0.0000 x4
Co1 0.0000 0.0000 0.5000 x4
Cl1 0.2180 0.2500 0.1250 x8

- Total moment: 0.250 μB per atom
- Calculated total energy: -58.35 eV per cell
- Formation energy (no corrections): -0.06 eV/f.u.
- Energy above the most stable polymorph in this dataset: 306 meV per atom

---

Material: BeCoCl
Method: DFT, PBE
State: relaxed

a = 9.0410 Å, b = 3.6355 Å, c = 6.6179 Å
α = 90.00°, β = 90.00°, γ = 90.00°
Space group Pnma (No. 62)
Unique sites:
Be1 0.0557 0.2500 0.0086 x4
Co1 0.1787 0.7500 0.9359 x4
Cl1 0.2106 0.7500 0.6011 x4

- Total moment: 0.409 μB per atom
- Calculated total energy: -49.07 eV per cell
- Formation energy (no corrections): 0.41 eV/f.u.
- Energy above the most stable polymorph in this dataset: 497 meV per atom

---

Material: BeCo2Cl
Method: DFT, PBE
State: relaxed

a = 3.6250 Å, b = 3.6250 Å, c = 14.8103 Å
α = 90.00°, β = 90.00°, γ = 90.00°
Space group I-42d (No. 122)
Unique sites:
Be1 0.0000 0.0000 0.0000 x4
Co1 0.2398 0.2500 0.1250 x8
Cl1 0.0000 0.0000 0.5000 x4

- Total moment: 0.475 μB per atom
- Calculated total energy: -69.80 eV per cell
- Formation energy (no corrections): 2.34 eV/f.u.
- Energy above the most stable polymorph in this dataset: 473 meV per atom

---

Material: BeCo2Cl
Method: DFT, PBE
State: relaxed

a = 2.8620 Å, b = 2.9438 Å, c = 6.1143 Å
α = 90.00°, β = 90.00°, γ = 90.00°
Space group Pmmm (No. 47)
Unique sites:
Be1 0.0000 0.0000 0.0000 x1
Co1 0.5000 0.5000 0.1819 x2
Cl1 0.0000 0.5000 0.5000 x1

- Total moment: 0.753 μB per atom
- Calculated total energy: -19.20 eV per cell
- Formation energy (no corrections): 0.58 eV/f.u.
- Energy above the most stable polymorph in this dataset: 35 meV per atom